Density functional theory data (PBE+U) for crystalline RbMnTlO4 at its relaxed geometry.

a b c (Å): 6.1911 6.1911 8.4265
angles (deg): 90.00 90.00 115.68
Positions (direct):
Rb 0.0000 0.0000 0.0000
Rb 0.0000 0.0000 0.5000
Mn 0.3623 0.6377 0.7500
Mn 0.6377 0.3623 0.2500
Tl 0.3232 0.6768 0.2500
Tl 0.6768 0.3232 0.7500
O 0.2575 0.3365 0.7500
O 0.2756 0.7244 0.5865
O 0.2756 0.7244 0.9135
O 0.3365 0.2575 0.2500
O 0.6635 0.7425 0.7500
O 0.7244 0.2756 0.0865
O 0.7244 0.2756 0.4135
O 0.7425 0.6635 0.2500

- space group = Cmcm
- E (eV per cell) = -75.92
- magnetization (μB/cell) = 2.0